Density functional theory data (PBE-GGA) for a relaxed PrTm3Cd2 crystal.

For the distance to the lowest polymorph of the same formula, the calculation gives 61.5 meV/atom. The value obtained for the formation energy is -80 kJ/mol of formula units.

abc: 8.3358 8.3358 8.8953
angles: 114.63 114.63 38.02
Element x y z (fractional)
1 Pr 0.1353 0.1353 0.1823
2 Pr 0.8647 0.8647 0.8177
3 Tm 0.0622 0.0622 0.7215
4 Tm 0.3074 0.3074 0.0077
5 Tm 0.3834 0.3834 0.4572
6 Tm 0.6166 0.6166 0.5428
7 Tm 0.6926 0.6926 0.9923
8 Tm 0.9378 0.9378 0.2785
9 Cd 0.2318 0.2318 0.6046
10 Cd 0.4816 0.4816 0.8295
11 Cd 0.5184 0.5184 0.1705
12 Cd 0.7682 0.7682 0.3954

Density functional theory data (PBE-GGA) for a relaxed Pr6TmCd5 crystal.

The value obtained for the formation energy is -267 kJ/mol of formula units.

abc: 5.5092 7.7433 8.8253
angles: 90.00 108.24 90.00
Element x y z (fractional)
1 Pr 0.0000 0.2359 0.0000
2 Pr 0.0000 0.7641 0.0000
3 Pr 0.3306 0.2506 0.6574
4 Pr 0.3306 0.7494 0.6574
5 Pr 0.6694 0.2506 0.3426
6 Pr 0.6694 0.7494 0.3426
7 Tm 0.5000 0.5000 0.0000
8 Cd 0.1538 0.5000 0.3121
9 Cd 0.1634 0.0000 0.3328
10 Cd 0.5000 0.0000 0.0000
11 Cd 0.8366 0.0000 0.6672
12 Cd 0.8462 0.5000 0.6879

Density functional theory data (PBE-GGA) for a relaxed PrTm2Cd crystal.

For the distance to the lowest polymorph of the same formula, the calculation gives 5.8 meV/atom. The value obtained for the formation energy is -55 kJ/mol of formula units.

abc: 3.7727 5.5221 11.3911
angles: 90.00 90.00 90.00
Element x y z (fractional)
1 Pr 0.0000 0.0000 0.0000
2 Pr 0.5000 0.5000 0.5000
3 Tm 0.0000 0.5000 0.2241
4 Tm 0.0000 0.5000 0.7759
5 Tm 0.5000 0.0000 0.2759
6 Tm 0.5000 0.0000 0.7241
7 Cd 0.0000 0.0000 0.5000
8 Cd 0.5000 0.5000 0.0000